(1)
A relaxed structure of Li2CrTc. Source: Alexandria, functional PBEsol.

Cell and atoms, written as POSCAR:
```
Li2CrTc
1.0
2.404 0.000 0.000
0.000 4.546 0.000
0.000 0.000 4.691
Li Cr Tc
2 1 1
Direct
0.000 0.000 0.248
0.000 0.000 0.752
0.500 0.500 0.500
0.500 0.500 0.000
```

## Properties
Its energy above the most stable polymorph in this dataset is 100.6 meV/atom. The calculation puts the formation energy at 0.43 eV per atom.

(2)
A relaxed structure of LaCuP2. Source: Alexandria, functional PBEsol.

Cell and atoms, written as POSCAR:
```
LaCuP2
1.0
-2.029 2.029 4.469
2.029 -2.029 4.469
2.029 2.029 -4.469
La Cu P
1 1 2
Direct
0.000 0.000 0.000
0.250 0.750 0.500
0.500 0.500 0.000
0.750 0.250 0.500
```

## Properties
The calculation puts the formation energy at -0.32 eV per atom.

(3)
A relaxed structure of LiTbW2O8. Source: Alexandria, functional PBEsol.

Cell and atoms, written as POSCAR:
```
LiTbW2O8
1.0
4.990 0.000 0.000
0.000 5.781 0.000
-4.174 0.000 9.996
Li Tb W O
2 2 4 16
Direct
0.000 0.242 0.250
0.000 0.758 0.750
0.500 0.200 0.750
0.500 0.800 0.250
0.266 0.319 0.018
0.266 0.681 0.518
0.734 0.319 0.482
0.734 0.681 0.982
0.142 0.389 0.594
0.142 0.611 0.094
0.228 0.128 0.140
0.228 0.872 0.640
0.290 0.121 0.894
0.290 0.879 0.394
0.355 0.423 0.385
0.355 0.577 0.885
0.645 0.423 0.115
0.645 0.577 0.615
0.710 0.121 0.606
0.710 0.879 0.106
0.772 0.128 0.360
0.772 0.872 0.860
0.858 0.389 0.906
0.858 0.611 0.406
```

## Properties
Its energy above the most stable polymorph in this dataset is 0.0 meV/atom. The value obtained for the uncorrected formation energy is -2.532 eV/atom.

(4)
A relaxed structure of Be2AsS. Source: Alexandria, functional PBEsol.

Cell and atoms, written as POSCAR:
```
Be2AsS
1.0
-2.531 2.531 4.848
2.531 -2.531 4.848
2.531 2.531 -4.848
Be As S
4 2 2
Direct
0.098 0.625 0.973
0.375 0.348 0.473
0.652 0.125 0.027
0.875 0.902 0.527
0.250 0.750 0.500
0.500 0.500 0.000
0.000 0.000 0.000
0.750 0.250 0.500
```

## Properties
The value obtained for the uncorrected formation energy is -0.377 eV/atom.

(5)
A relaxed structure of BaPPd2. Source: Alexandria, functional PBEsol.

Cell and atoms, written as POSCAR:
```
BaPPd2
1.0
-2.570 2.570 7.656
2.570 -2.570 7.656
2.570 2.570 -7.656
Ba P Pd
2 2 4
Direct
0.375 0.625 0.750
0.625 0.375 0.250
0.125 0.875 0.250
0.875 0.125 0.750
0.000 0.000 0.000
0.000 0.000 0.500
0.000 0.500 0.000
0.500 0.000 0.500
```

## Properties
The calculation puts the formation energy at -0.73 eV per atom.

(6)
A relaxed structure of MoW4. Source: Alexandria, functional PBEsol.

Cell and atoms, written as POSCAR:
```
MoW4
1.0
-2.881 2.881 2.881
2.881 -2.881 2.881
2.881 2.881 -2.881
Mo W
1 4
Direct
0.000 0.000 0.000
0.000 0.000 0.500
0.000 0.500 0.000
0.500 0.000 0.000
0.500 0.500 0.500
```

## Properties
Its energy above the most stable polymorph in this dataset is 1788.9 meV/atom. The calculation puts the formation energy at 1.79 eV per atom.